{"formula": "LiHg2I5", "functional": "PBE", "state": "relaxed", "cell": [[7.6997, 1.2711, 3.1960], [-0.2284, 6.7612, 3.9728], [0.7748, 0.2806, 7.5441]], "species": ["I", "I", "I", "I", "I", "Li", "Hg", "Hg"], "frac_coords": [[0.7763, 0.3373, 0.7769], [0.8872, 0.9647, 0.4610], [0.2842, 0.2170, 0.7254], [0.1977, 0.6392, 0.0199], [0.6218, 0.7377, 0.2631], [0.9478, 0.9751, 0.0490], [0.9853, 0.3267, 0.3378], [0.5227, 0.0253, 0.9208]], "spacegroup": "P1, No. 1", "formation_energy_uncorrected_kj_per_mol_atoms": -46, "total_energy_ev_per_cell": -14.1}

{"formula": "SrCdW2", "functional": "PBE", "state": "relaxed", "cell": [[3.3646, 0.0000, 0.0000], [0.0000, 3.3666, 0.0000], [0.0000, 0.0000, 8.0699]], "species": ["Sr", "W", "W", "Cd"], "frac_coords": [[0.5000, 0.5000, 0.7669], [0.0000, 0.0000, 0.0722], [0.5000, 0.5000, 0.2100], [0.0000, 0.0000, 0.4509]], "spacegroup": "P4mm, No. 99", "ef_ev_per_fu": 2.1, "total_energy_ev_per_cell": -26.4}

{"formula": "DyHf2Sc9", "functional": "PBE", "state": "relaxed", "cell": [[3.2316, 0.0000, 0.0000], [0.0000, 10.2960, 0.0000], [0.0000, -5.1480, 8.9166]], "species": ["Dy", "Sc", "Sc", "Sc", "Sc", "Sc", "Sc", "Sc", "Sc", "Sc", "Hf", "Hf"], "frac_coords": [[0.0000, 0.0000, 0.0000], [0.5000, 0.8184, 0.1816], [0.0000, 0.5000, 0.5000], [0.0000, 0.5000, 0.0000], [0.5000, 0.8184, 0.6368], [0.5000, 0.3632, 0.1816], [0.5000, 0.1816, 0.8184], [0.5000, 0.1816, 0.3632], [0.5000, 0.6368, 0.8184], [0.0000, 0.0000, 0.5000], [0.0000, 0.3333, 0.6667], [0.0000, 0.6667, 0.3333]], "spacegroup": "P6/mmm, No. 191", "ef_ev_per_fu": 0.3, "total_energy_ev_per_cell": -81.2}

{"formula": "LiTl2In", "functional": "PBE", "state": "relaxed", "cell": [[-0.9859, 3.0087, 3.4318], [-4.7200, -1.6889, 0.1248], [1.1592, -3.0193, 2.9800]], "species": ["Tl", "Tl", "In", "Li"], "frac_coords": [[0.5000, 0.5000, 0.0000], [0.0000, 0.0000, 0.0000], [0.5000, 0.0000, 0.5000], [0.0000, 0.5000, 0.5000]], "spacegroup": "Pmmm, No. 47", "ef_ev_per_fu": -0.3, "total_energy_ev_per_cell": -9.7}

{"formula": "Cr2CoRu", "functional": "PBE", "state": "relaxed", "cell": [[2.5849, 0.0000, 0.0000], [0.0000, 2.5849, 0.0000], [0.0000, 0.0000, 7.1717]], "species": ["Cr", "Cr", "Co", "Ru"], "frac_coords": [[0.0000, 0.0000, 0.9872], [0.0000, 0.0000, 0.5128], [0.5000, 0.5000, 0.7500], [0.5000, 0.5000, 0.2500]], "spacegroup": "P4/mmm, No. 123", "ef_ev_per_fu": 0.5, "total_energy_ev_per_cell": -35.1}

{"formula": "Sr2MnBePb", "functional": "PBE", "state": "relaxed", "cell": [[5.9309, 0.0000, 0.0000], [0.0000, 4.5699, 0.0000], [0.0000, 0.0000, 5.9309]], "species": ["Mn", "Pb", "Sr", "Sr", "Be"], "frac_coords": [[0.5000, 0.5000, 0.5000], [0.0000, 0.5000, 0.0000], [0.5000, 0.0000, 0.0000], [0.0000, 0.0000, 0.5000], [0.0000, 0.0000, 0.0000]], "spacegroup": "P4/mmm, No. 123", "ef_ev_per_fu": 2.3, "total_energy_ev_per_cell": -17.6}

{"formula": "Nd3ZnGe3", "functional": "PBE", "state": "relaxed", "cell": [[4.0258, 0.0000, -0.8783], [-0.2175, 4.2912, -0.9968], [0.0273, 0.0089, 9.7911]], "species": ["Ge", "Ge", "Ge", "Nd", "Nd", "Nd", "Zn"], "frac_coords": [[0.8552, 0.3552, 0.7103], [0.5622, 0.5622, 0.1243], [0.1497, 0.6497, 0.2994], [0.0032, 0.0032, 0.0065], [0.3159, 0.8159, 0.6319], [0.6825, 0.1825, 0.3650], [0.4313, 0.4313, 0.8626]], "spacegroup": "Imm2, No. 44", "ef_ev_per_fu": -5.2, "total_energy_ev_per_cell": -34.6}

{"formula": "CaCr2FeSn", "functional": "PBE", "state": "relaxed", "cell": [[-4.0132, -0.2658, -1.8413], [1.8456, 0.0035, -4.0232], [0.2431, -4.4154, 0.1077]], "species": ["Cr", "Cr", "Sn", "Fe", "Ca"], "frac_coords": [[0.0000, 0.0000, 0.5000], [0.5000, 0.0000, 0.0000], [0.5000, 0.5000, 0.5000], [0.0000, 0.5000, 0.0000], [0.0000, 0.0000, 0.0000]], "spacegroup": "P4/mmm, No. 123", "ef_ev_per_fu": 11.3, "total_energy_ev_per_cell": -22.5}